Record 1
Nd3Th | PBE | optimized geometry

```
Nd3Th
1.0
5.159 0.000 0.000
0.000 5.159 0.000
0.000 0.000 5.159
Nd Th
3 1
Cartesian
0.000 0.000 2.580
0.000 2.580 0.000
2.580 0.000 0.000
2.580 2.580 2.580
```

Results
DFT formation energy = 0.063 eV/atom
Energy above the most stable polymorph in this dataset = 31 meV per atom

Record 2
Rb3TmU2O9 | PBE | optimized geometry

```
Rb3TmU2O9
1.0
6.127 0.000 0.000
-3.064 5.306 0.000
0.000 0.000 7.502
Rb Tm U O
3 1 2 9
Cartesian
0.000 0.000 0.000
0.000 3.537 4.970
3.064 1.769 2.532
0.000 0.000 3.751
0.000 3.537 1.273
3.064 1.769 6.229
-1.532 2.653 0.000
0.000 1.846 2.433
-1.465 4.383 2.433
1.598 0.923 5.069
3.064 0.000 0.000
1.532 2.653 0.000
1.465 4.383 2.433
4.529 0.923 5.069
3.064 3.460 5.069
```

Results
Formation energy without anion corrections = -2.8797 eV per atom

Record 3
YAgBRh2 | PBE | optimized geometry

```
YAgBRh2
1.0
4.258 0.000 0.000
0.000 4.258 0.000
0.000 0.000 4.380
Y Ag B Rh
1 1 1 2
Cartesian
0.000 0.000 0.000
2.129 2.129 0.000
2.129 2.129 2.190
0.000 2.129 2.190
2.129 0.000 2.190
```

Results
DFT formation energy = -0.467 eV/atom

Record 4
Ac2Bi2S7 | PBE | optimized geometry

```
Ac2Bi2S7
1.0
4.844 -5.352 0.000
4.844 5.352 0.000
0.000 0.000 5.980
Ac Bi S
2 2 7
Cartesian
2.344 0.000 0.000
7.344 0.000 0.000
4.844 2.481 2.990
4.844 -2.481 2.990
0.000 0.000 2.990
2.422 2.676 1.437
2.422 2.676 4.543
2.422 -2.676 1.437
2.422 -2.676 4.543
4.844 0.000 1.510
4.844 0.000 4.470
```

Results
Formation energy without anion corrections = -0.8707 eV per atom

no.,D(E_F) (states/eV/atom)
1,1.221
2,0.000
3,0.336
4,0.543